The following is a DFT calculation (GGA-PBE) of an optimized crystal structure of Zn2HPtRh.

Values from the calculation:
electronic total energy: -4.175 eV per atom
density of states at the Fermi level: 0.3634 states/eV per atom

Lattice parameters (Å, degrees): 4.1904 4.1904 3.4212 90.00 90.00 90.00
Fractional coordinates of all 5 atoms:
1 H 0.0000 0.0000 0.0000
2 Zn 0.0000 0.5000 0.0000
3 Zn 0.5000 0.0000 0.0000
4 Rh 0.0000 0.0000 0.5000
5 Pt 0.5000 0.5000 0.5000

---

The following is a DFT calculation (GGA-PBE) of an optimized crystal structure of AcTa2S6.

Values from the calculation:
density of states at the Fermi level: 0.1271 states/eV per atom
energy relative to the elements, uncorrected: -10.7 eV per formula unit

Lattice parameters (Å, degrees): 4.9170 6.3845 8.4257 72.34 73.04 67.35
Fractional coordinates of all 9 atoms:
1 Ac 0.0000 0.5000 0.5000
2 Ta 0.1881 0.6973 0.9265
3 Ta 0.8119 0.3027 0.0735
4 S 0.6906 0.7061 0.9128
5 S 0.3094 0.2939 0.0872
6 S 0.9807 0.8600 0.1787
7 S 0.3367 0.6969 0.6298
8 S 0.0193 0.1400 0.8213
9 S 0.6633 0.3031 0.3702